Version A
Density functional theory data (PBE) for a relaxed structure of LiHo6Tl5.

Cell and atoms, written as POSCAR:
```
LiHo6Tl5
1.0
2.6592 -8.0456 0.0000
2.6592 8.0456 0.0000
0.0000 0.0000 7.4607
Li Ho Tl
1 6 5
Cartesian
0.0000 0.0000 0.0000
2.6592 5.3366 1.8339
2.6592 5.3366 5.6268
2.6592 0.0000 1.9007
2.6592 0.0000 5.5600
2.6592 -5.3366 1.8339
2.6592 -5.3366 5.6268
0.0000 0.0000 3.7303
2.6592 2.6839 3.7303
2.6592 2.4960 0.0000
2.6592 -2.4960 0.0000
2.6592 -2.6839 3.7303
```

Summary:
* total moment: 0.0 μB/cell



Version B
Density functional theory data (PBE) for a relaxed structure of LiHo6Tl5.

Cell and atoms, written as POSCAR:
```
LiHo6Tl5
1.0
3.1723 -5.4825 0.0000
3.1723 5.4825 0.0000
-2.0970 0.0000 9.8290
Li Ho Tl
1 6 5
Cartesian
0.0000 0.0000 0.0000
1.0811 1.8532 2.4839
0.0445 0.0000 7.3767
1.0811 -1.8532 2.4839
3.1664 1.8532 7.3451
4.2030 0.0000 2.4523
3.1664 -1.8532 7.3451
2.1238 3.6820 4.9145
3.1723 1.8599 0.0000
2.1238 0.0000 4.9145
3.1723 -1.8599 0.0000
2.1238 -3.6820 4.9145
```

Summary:
* total moment: 0.0 μB/cell



Computed relative energies in units of meV per atom: version A 0; version B 114



Version A
Density functional theory data (PBE) for a relaxed structure of LiHoTl4.

Cell and atoms, written as POSCAR:
```
LiHoTl4
1.0
4.6963 0.0000 0.0000
0.0000 4.6963 0.0000
0.0000 0.0000 7.6953
Li Ho Tl
1 1 4
Cartesian
0.0000 0.0000 0.0000
2.3482 2.3482 3.8476
0.0000 2.3482 1.6472
0.0000 2.3482 6.0481
2.3482 0.0000 1.6472
2.3482 0.0000 6.0481
```

Summary:
* total moment: 0.0 μB/cell



Version B
Density functional theory data (PBE) for a relaxed structure of LiHoTl4.

Cell and atoms, written as POSCAR:
```
LiHoTl4
1.0
6.2833 -1.8335 0.0000
6.2833 1.8335 0.0000
-2.4724 0.0000 6.8858
Li Ho Tl
1 1 4
Cartesian
0.0000 0.0000 0.0000
-1.2362 0.0000 3.4429
2.5660 0.0000 4.6481
3.9095 0.0000 1.0533
6.1847 0.0000 5.8325
7.5282 0.0000 2.2377
```

Summary:
* total moment: 0.0 μB/cell



Computed relative energies in units of meV per atom: version A 123; version B 0



Version A
Density functional theory data (PBE) for a relaxed structure of LiHo2Tl3.

Cell and atoms, written as POSCAR:
```
LiHo2Tl3
1.0
5.2225 0.0000 0.0000
-2.6113 4.5229 0.0000
0.0000 0.0000 12.9286
Li Ho Tl
2 4 6
Cartesian
0.0000 3.0152 2.0634
2.6113 1.5076 10.8653
0.0000 0.0000 0.0000
0.0000 0.0000 6.4643
0.0000 3.0152 8.7330
2.6113 1.5076 4.1956
0.0000 0.0000 3.1594
0.0000 0.0000 9.7692
0.0000 3.0152 5.2989
0.0000 3.0152 11.8859
2.6113 1.5076 1.0427
2.6113 1.5076 7.6297
```

Summary:
* total moment: 0.0 μB/cell



Version B
Density functional theory data (PBE) for a relaxed structure of LiHo2Tl3.

Cell and atoms, written as POSCAR:
```
LiHo2Tl3
1.0
1.7208 -14.1597 0.0000
1.7208 14.1597 0.0000
0.0000 0.0000 6.5952
Li Ho Tl
2 4 6
Cartesian
1.7208 9.6009 4.9464
1.7208 -9.6009 1.6488
1.7208 4.5330 4.9464
1.7208 0.1221 1.6488
1.7208 -0.1221 4.9464
1.7208 -4.5330 1.6488
1.7208 11.8593 0.0385
1.7208 11.8593 3.2592
1.7208 6.8453 1.6488
1.7208 -6.8453 4.9464
1.7208 -11.8593 3.3361
1.7208 -11.8593 6.5568
```

Summary:
* total moment: 0.3 μB/cell



Computed relative energies in units of meV per atom: version A 0; version B 135



Version A
Density functional theory data (PBE) for a relaxed structure of Li2HoTl2.

Cell and atoms, written as POSCAR:
```
Li2HoTl2
1.0
8.1725 0.0000 0.0000
0.0000 8.1725 0.0000
0.0000 0.0000 3.2943
Li Ho Tl
4 2 4
Cartesian
0.9457 3.1405 0.0000
3.1405 7.2268 0.0000
5.0320 0.9457 0.0000
7.2268 5.0320 0.0000
0.0000 0.0000 0.0000
4.0863 4.0863 0.0000
1.4949 5.5811 1.6471
2.5914 1.4949 1.6471
5.5811 6.6776 1.6471
6.6776 2.5914 1.6471
```

Summary:
* total moment: 0.0 μB/cell



Version B
Density functional theory data (PBE) for a relaxed structure of Li2HoTl2.

Cell and atoms, written as POSCAR:
```
Li2HoTl2
1.0
4.5595 -2.5144 0.0000
4.5595 2.5144 0.0000
-2.0016 0.0000 4.8339
Li Ho Tl
2 1 2
Cartesian
0.5441 0.0000 1.1525
6.5734 0.0000 3.6814
3.5588 0.0000 2.4170
0.6208 0.0000 3.9154
6.4967 0.0000 0.9185
```

Summary:
* total moment: 0.0 μB/cell



Computed relative energies in units of meV per atom: version A 0; version B 13



Version A
Density functional theory data (PBE) for a relaxed structure of Li2Ho2Tl.

Cell and atoms, written as POSCAR:
```
Li2Ho2Tl
1.0
5.5271 -2.5623 0.0000
5.5271 2.5623 0.0000
-3.0625 0.0000 8.4862
Li Ho Tl
4 4 2
Cartesian
-0.8668 0.0000 3.1058
1.3283 0.0000 0.6505
6.6634 0.0000 7.8358
8.8585 0.0000 5.3804
2.3408 0.0000 3.7508
4.5560 0.0000 1.3031
3.4357 0.0000 7.1831
5.6509 0.0000 4.7354
0.2510 0.0000 6.6454
7.7408 0.0000 1.8408
```

Summary:
* total moment: 0.0 μB/cell



Version B
Density functional theory data (PBE) for a relaxed structure of Li2Ho2Tl.

Cell and atoms, written as POSCAR:
```
Li2Ho2Tl
1.0
4.3615 -2.5285 0.0000
4.3615 2.5285 0.0000
-2.9257 0.0000 5.1950
Li Ho Tl
2 2 1
Cartesian
0.0086 0.0000 1.3573
5.7886 0.0000 3.8377
-0.0201 0.0000 4.3377
5.8173 0.0000 0.8573
2.8986 0.0000 2.5975
```

Summary:
* total moment: 0.0 μB/cell



Computed relative energies in units of meV per atom: version A 0; version B 15



Version A
Density functional theory data (PBE) for a relaxed structure of LiHo2Tm.

Cell and atoms, written as POSCAR:
```
LiHo2Tm
1.0
3.5684 0.0000 0.0000
0.0000 3.5684 0.0000
0.0000 0.0000 8.7433
Li Ho Tm
1 2 1
Cartesian
0.0000 0.0000 0.0000
1.7842 1.7842 1.9715
1.7842 1.7842 6.7718
0.0000 0.0000 4.3716
```

Summary:
* total moment: 0.0 μB/cell



Version B
Density functional theory data (PBE) for a relaxed structure of LiHo2Tm.

Cell and atoms, written as POSCAR:
```
LiHo2Tm
1.0
5.4962 0.0000 0.0000
0.0000 5.4962 0.0000
0.0000 0.0000 3.7464
Li Ho Tm
1 2 1
Cartesian
0.0000 0.0000 0.0000
0.0000 2.7481 1.8732
2.7481 0.0000 1.8732
2.7481 2.7481 0.0000
```

Summary:
* total moment: 0.0 μB/cell



Version C
Density functional theory data (PBE) for a relaxed structure of LiHo2Tm.

Cell and atoms, written as POSCAR:
```
LiHo2Tm
1.0
1.7310 0.9994 11.1125
-1.7310 0.9994 11.1125
0.0000 -1.9988 11.1125
Li Ho Tm
1 2 1
Cartesian
0.0000 0.0000 0.0000
0.0000 0.0000 19.4792
0.0000 0.0000 24.9564
0.0000 0.0000 5.5480
```

Summary:
* total moment: 0.0 μB/cell



Version D
Density functional theory data (PBE) for a relaxed structure of LiHo2Tm.

Cell and atoms, written as POSCAR:
```
LiHo2Tm
1.0
0.0000 3.8315 3.8315
3.8315 0.0000 3.8315
3.8315 3.8315 0.0000
Li Ho Tm
1 2 1
Cartesian
0.0000 0.0000 0.0000
1.9157 1.9157 1.9157
5.7472 5.7472 5.7472
3.8315 3.8315 3.8315
```

Summary:
* total moment: 0.0 μB/cell



Computed relative energies in units of meV per atom: version A 0; version B 74; version C 18; version D 97



Version A
Density functional theory data (PBE) for a relaxed structure of LiHoZn2.

Cell and atoms, written as POSCAR:
```
LiHoZn2
1.0
3.3144 0.0000 0.0000
0.0000 3.3144 0.0000
0.0000 0.0000 6.8682
Li Ho Zn
1 1 2
Cartesian
0.0000 0.0000 0.0000
0.0000 0.0000 3.4341
1.6572 1.6572 1.4412
1.6572 1.6572 5.4270
```

Summary:
* total moment: 0.0 μB/cell



Version B
Density functional theory data (PBE) for a relaxed structure of LiHoZn2.

Cell and atoms, written as POSCAR:
```
LiHoZn2
1.0
4.9329 0.0000 0.0000
0.0000 4.9329 0.0000
0.0000 0.0000 3.3156
Li Ho Zn
1 1 2
Cartesian
0.0000 0.0000 0.0000
2.4664 2.4664 0.0000
0.0000 2.4664 1.6578
2.4664 0.0000 1.6578
```

Summary:
* total moment: 0.0 μB/cell



Version C
Density functional theory data (PBE) for a relaxed structure of LiHoZn2.

Cell and atoms, written as POSCAR:
```
LiHoZn2
1.0
0.0000 3.3631 3.3631
3.3631 0.0000 3.3631
3.3631 3.3631 0.0000
Li Ho Zn
1 1 2
Cartesian
0.0000 0.0000 0.0000
3.3631 3.3631 3.3631
1.6816 1.6816 1.6816
5.0447 5.0447 5.0447
```

Summary:
* total moment: 0.0 μB/cell



Computed relative energies in units of meV per atom: version A 38; version B 60; version C 0



Version A
Density functional theory data (PBE) for a relaxed structure of LiHoZn.

Cell and atoms, written as POSCAR:
```
LiHoZn
1.0
4.7451 -2.8687 0.0000
4.7451 2.8687 0.0000
-3.0486 0.0000 4.4583
Li Ho Zn
2 2 2
Cartesian
-3.0467 0.0005 4.4581
-1.5243 0.0000 2.2292
1.6718 0.0000 2.8054
4.7698 0.0000 1.6529
2.3726 1.4343 0.0000
2.3726 -1.4343 0.0000
```

Summary:
* total moment: 0.0 μB/cell



Version B
Density functional theory data (PBE) for a relaxed structure of LiHoZn.

Cell and atoms, written as POSCAR:
```
LiHoZn
1.0
3.4274 0.0000 0.0000
0.0000 3.4277 0.0000
-0.0119 0.0000 10.8757
Li Ho Zn
2 2 2
Cartesian
0.8538 0.8569 0.8388
2.5618 2.5708 10.0369
0.8534 0.8569 4.1353
2.5622 2.5708 6.7404
0.8526 0.8569 8.6331
2.5629 2.5708 2.2426
```

Summary:
* total moment: 0.0 μB/cell



Version C
Density functional theory data (PBE) for a relaxed structure of LiHoZn.

Cell and atoms, written as POSCAR:
```
LiHoZn
1.0
-1.8150 1.8150 4.7254
1.8150 -1.8150 4.7254
1.8150 1.8150 -4.7254
Li Ho Zn
1 1 1
Cartesian
0.0000 0.0000 0.0000
0.0000 0.0000 2.9079
0.0000 0.0000 6.0095
```

Summary:
* total moment: 0.0 μB/cell



Computed relative energies in units of meV per atom: version A 0; version B 6; version C 34



Version A
Density functional theory data (PBE) for a relaxed structure of Li2HoZn9.

Cell and atoms, written as POSCAR:
```
Li2HoZn9
1.0
8.7033 0.0000 0.0000
-4.3516 7.5373 0.0000
0.0000 0.0000 2.9294
Li Ho Zn
2 1 9
Cartesian
0.0000 5.0249 0.0000
4.3517 2.5124 0.0000
0.0000 0.0000 0.0000
-2.1758 3.7686 0.0000
0.0000 2.7252 1.4647
-1.9915 6.1747 1.4647
2.3601 1.3626 1.4647
4.3516 0.0000 0.0000
2.1758 3.7686 0.0000
1.9915 6.1747 1.4647
6.3432 1.3626 1.4647
4.3516 4.8120 1.4647
```

Summary:
* total moment: 0.0 μB/cell



Version B
Density functional theory data (PBE) for a relaxed structure of Li2HoZn9.

Cell and atoms, written as POSCAR:
```
Li2HoZn9
1.0
2.6214 1.5135 8.3283
-2.6214 1.5135 8.3283
0.0000 -3.0269 8.3283
Li Ho Zn
2 1 9
Cartesian
0.0000 0.0000 3.5827
0.0000 0.0000 21.4023
0.0000 0.0000 0.0000
-1.3347 -0.7706 10.4713
0.0000 0.0000 8.3497
0.0000 -1.5412 14.5137
-1.3347 0.7706 14.5137
0.0000 0.0000 12.4925
1.3347 -0.7706 10.4713
0.0000 1.5412 10.4713
0.0000 0.0000 16.6353
1.3347 0.7706 14.5137
```

Summary:
* total moment: 0.0 μB/cell



Computed relative energies in units of meV per atom: version A 100; version B 0



Version A
Density functional theory data (PBE) for a relaxed structure of LiHoZr.

Cell and atoms, written as POSCAR:
```
LiHoZr
1.0
3.2769 0.0000 0.0000
-1.6385 2.8379 0.0000
0.0000 0.0000 8.1152
Li Ho Zr
1 1 1
Cartesian
0.0000 0.0000 0.0000
0.0000 1.8919 5.2358
1.6385 0.9460 2.6351
```

Summary:
* total moment: 0.0 μB/cell



Version B
Density functional theory data (PBE) for a relaxed structure of LiHoZr.

Cell and atoms, written as POSCAR:
```
LiHoZr
1.0
-1.6658 1.6658 6.5626
1.6658 -1.6658 6.5626
1.6658 1.6658 -6.5626
Li Ho Zr
1 1 1
Cartesian
0.0000 0.0000 0.0000
0.0000 0.0000 8.8934
0.0000 0.0000 4.5102
```

Summary:
* total moment: 0.0 μB/cell



Computed relative energies in units of meV per atom: version A 36; version B 0



Version A
Density functional theory data (PBE) for a relaxed structure of LiHo2Zr.

Cell and atoms, written as POSCAR:
```
LiHo2Zr
1.0
1.6809 0.9705 10.9905
-1.6809 0.9705 10.9905
0.0000 -1.9410 10.9905
Li Ho Zr
1 2 1
Cartesian
0.0000 0.0000 0.0000
0.0000 0.0000 8.1298
0.0000 0.0000 24.8416
0.0000 0.0000 16.4857
```

Summary:
* total moment: 0.0 μB/cell



Version B
Density functional theory data (PBE) for a relaxed structure of LiHo2Zr.

Cell and atoms, written as POSCAR:
```
LiHo2Zr
1.0
5.4995 0.0000 0.0000
0.0000 5.4995 0.0000
0.0000 0.0000 3.4193
Li Ho Zr
1 2 1
Cartesian
0.0000 0.0000 0.0000
0.0000 2.7498 1.7097
2.7498 0.0000 1.7097
2.7498 2.7498 0.0000
```

Summary:
* total moment: 0.0 μB/cell



Version C
Density functional theory data (PBE) for a relaxed structure of LiHo2Zr.

Cell and atoms, written as POSCAR:
```
LiHo2Zr
1.0
3.4252 0.0000 0.0000
0.0000 3.4252 0.0000
0.0000 0.0000 8.9296
Li Ho Zr
1 2 1
Cartesian
0.0000 0.0000 0.0000
1.7126 1.7126 2.2436
1.7126 1.7126 6.6860
0.0000 0.0000 4.4648
```

Summary:
* total moment: 0.0 μB/cell



Computed relative energies in units of meV per atom: version A 34; version B 109; version C 0